No. 1
Material: K2UAs2
Method: DFT, PBE
State: relaxed

abc: 4.308 4.307 12.061
angles: 80.98 79.71 59.99
Atoms (fractional coordinates):
K1 0.553 0.089 0.805
K2 0.447 0.911 0.195
As1 0.288 0.803 0.621
As2 0.712 0.197 0.379
U1 0.000 0.500 0.500

## Properties
Volume in Å³ per atom: 38.012

No. 2
Material: HfHgPdO2
Method: DFT, PBE
State: relaxed

abc: 4.063 4.063 5.791
angles: 90.00 90.00 90.00
Atoms (fractional coordinates):
Hf1 0.000 0.000 0.500
O1 0.000 0.500 0.000
O2 0.500 0.000 0.000
Pd1 0.500 0.500 0.500
Hg1 0.000 0.000 0.000

## Properties
Formation energy from raw total energies in eV per atom: 0.6982
Volume in Å³ per atom: 19.121

No. 3
Material: Pr4Dy2Sc
Method: DFT, PBE
State: relaxed

abc: 6.013 6.198 7.181
angles: 115.57 90.00 90.00
Atoms (fractional coordinates):
Pr1 0.500 0.635 0.271
Pr2 0.000 0.187 0.375
Pr3 0.000 0.813 0.625
Pr4 0.500 0.365 0.729
Dy1 0.500 0.113 0.225
Dy2 0.500 0.887 0.775
Sc1 0.000 0.500 0.000

## Properties
E above lowest polymorph in meV/atom: 477
Volume in Å³ per atom: 34.488

No. 4
Material: Mg2Cu2Ni
Method: DFT, PBE
State: relaxed

abc: 6.215 6.215 3.955
angles: 90.00 90.00 90.00
Atoms (fractional coordinates):
Mg1 0.176 0.676 0.500
Mg2 0.324 0.176 0.500
Mg3 0.824 0.324 0.500
Mg4 0.676 0.824 0.500
Ni1 0.000 0.000 0.000
Ni2 0.500 0.500 0.000
Cu1 0.366 0.866 0.000
Cu2 0.634 0.134 0.000
Cu3 0.866 0.634 0.000
Cu4 0.134 0.366 0.000

## Properties
E above lowest polymorph in meV/atom: 0
Volume in Å³ per atom: 15.278

No. 5
Material: Fe2NiRhN
Method: DFT, PBE
State: relaxed

abc: 3.703 3.703 3.870
angles: 90.00 90.00 90.00
Atoms (fractional coordinates):
Fe1 0.500 0.000 0.000
Fe2 0.000 0.500 0.000
N1 0.000 0.000 0.000
Rh1 0.500 0.500 0.500
Ni1 0.000 0.000 0.500

## Properties
E above lowest polymorph in meV/atom: 78
Formation energy from raw total energies in eV per atom: 0.1297
Volume in Å³ per atom: 10.615

No. 6
Material: CrSb2As
Method: DFT, PBE
State: relaxed

abc: 6.516 6.516 6.516
angles: 150.17 138.34 52.08
Atoms (fractional coordinates):
As1 0.427 0.427 0.000
Sb1 0.748 0.248 0.500
Sb2 0.059 0.059 0.000
Cr1 0.266 0.766 0.500

## Properties
Formation energy from raw total energies in eV per atom: 0.2683
Volume in Å³ per atom: 22.746

| no. | final energy (Ry/atom) |
| --- | --- |
| 1 | -0.370 |
| 2 | -0.322 |
| 3 | -0.326 |
| 4 | -0.253 |
| 5 | -0.555 |
| 6 | -0.394 |